[1]
GGA-PBE Li5ZnAu2, optimized geometry; E above lowest polymorph = 57 meV/atom; energy relative to the elements = -2.39 eV per formula unit; space group = No. 194; crystal system = hexagonal
1.0
4.384 0.000 0.000
-2.192 3.797 0.000
0.000 0.000 17.917
Zn Li Au
2 10 4
Direct
0.333 0.667 0.250
0.667 0.333 0.750
0.667 0.333 0.455
0.667 0.333 0.045
0.333 0.667 0.955
0.000 0.000 0.849
0.333 0.667 0.545
0.000 0.000 0.349
0.667 0.333 0.250
0.000 0.000 0.651
0.000 0.000 0.151
0.333 0.667 0.750
0.667 0.333 0.606
0.667 0.333 0.894
0.333 0.667 0.106
0.333 0.667 0.394

[2]
GGA-PBE Nd2NpS4, optimized geometry; energy relative to the elements, uncorrected = -1.768 eV per atom; space group = No. 63; crystal system = orthorhombic
1.0
-2.331 -2.640 1.763
0.388 -1.898 -6.729
10.601 -7.534 2.736
S Np Nd
8 2 4
Direct
0.224 0.448 0.627
0.224 0.448 0.873
0.022 0.045 0.250
0.978 0.955 0.750
0.776 0.552 0.127
0.500 0.000 0.500
0.776 0.552 0.373
0.500 0.000 0.000
0.623 0.247 0.750
0.377 0.753 0.250
0.132 0.264 0.071
0.868 0.736 0.929
0.868 0.736 0.571
0.132 0.264 0.429

Number 2 is which compound? Nd2NpS4